(1)
The following is a PBE calculation of crystalline Ho11Tm9Sc4 at its relaxed geometry, from Alexandria via LeMat-Bulk.

Computed properties:
ΔE_f, eV/atom: 0.04
Calculated total energy, eV per atom: -4.79

Structure (CIF):
```
data_Ho11Tm9Sc4
_cell_length_a 16.355
_cell_length_b 24.723
_cell_length_c 3.538
_cell_angle_alpha 90.00
_cell_angle_beta 90.00
_cell_angle_gamma 90.00
_space_group_name_H-M_alt 'C m m m'
_space_group_IT_number 65
_space_group_name_Hall '-C 2 2'
loop_
_atom_site_label
_atom_site_fract_x
_atom_site_fract_y
_atom_site_fract_z
_atom_site_occupancy
Ho1 0.000 0.000 0.000 1
Ho2 0.000 0.160 0.000 1
Ho3 0.000 0.370 0.000 1
Ho4 0.203 0.500 0.000 1
Ho5 0.227 0.180 0.000 1
Tm1 0.000 0.500 0.500 1
Tm2 0.103 0.269 0.500 1
Tm3 0.145 0.072 0.500 1
Sc1 0.156 0.398 0.500 1
```

---

(2)
The following is a PBE calculation of crystalline Ho3Tm5Sc2 at its relaxed geometry, from Alexandria via LeMat-Bulk.

Computed properties:
ΔE_f, eV/atom: 0.20
Calculated total energy, eV per atom: -4.67
Offset from the most stable computed form, eV per atom: 0.000

Structure (CIF):
```
data_Ho3Tm5Sc2
_cell_length_a 10.440
_cell_length_b 15.545
_cell_length_c 9.097
_cell_angle_alpha 90.00
_cell_angle_beta 124.95
_cell_angle_gamma 90.00
_space_group_name_H-M_alt 'C 1 2/c 1'
_space_group_IT_number 15
loop_
_space_group_symop_operation_xyz
'x,y,z'
'-x,-y,-z'
'-x,y,-z+1/2'
'x,-y,z+1/2'
'x+1/2,y+1/2,z'
'-x+1/2,-y+1/2,-z'
'-x+1/2,y+1/2,-z+1/2'
'x+1/2,-y+1/2,z+1/2'
loop_
_atom_site_label
_atom_site_fract_x
_atom_site_fract_y
_atom_site_fract_z
_atom_site_occupancy
Ho1 0.000 0.016 0.250 1
Ho2 0.151 0.372 0.548 1
Tm1 0.000 0.219 0.250 1
Tm2 0.000 0.279 0.750 1
Tm3 0.000 0.478 0.750 1
Tm4 0.247 0.360 0.238 1
Sc1 0.147 0.134 0.048 1
```

---

(3)
The following is a PBE calculation of crystalline Ho2Tm8Sc3 at its relaxed geometry, from Alexandria via LeMat-Bulk.

Computed properties:
ΔE_f, eV/atom: 0.26
Calculated total energy, eV per atom: -4.65
Offset from the most stable computed form, eV per atom: 0.192

Structure (CIF):
```
data_Ho2Tm8Sc3
_cell_length_a 14.393
_cell_length_b 8.651
_cell_length_c 6.486
_cell_angle_alpha 90.00
_cell_angle_beta 98.44
_cell_angle_gamma 90.00
_space_group_name_H-M_alt 'C 1 2/m 1'
_space_group_IT_number 12
loop_
_space_group_symop_operation_xyz
'x,y,z'
'-x,-y,-z'
'-x,y,-z'
'x,-y,z'
'x+1/2,y+1/2,z'
'-x+1/2,-y+1/2,-z'
'-x+1/2,y+1/2,-z'
'x+1/2,-y+1/2,z'
loop_
_atom_site_label
_atom_site_fract_x
_atom_site_fract_y
_atom_site_fract_z
_atom_site_occupancy
Ho1 0.201 0.000 0.281 1
Tm1 0.087 0.500 0.883 1
Tm2 0.109 0.317 0.427 1
Tm3 0.196 0.000 0.785 1
Sc1 0.000 0.000 0.500 1
Sc2 0.000 0.165 0.000 1
```

---

(4)
The following is a PBE calculation of crystalline Ho8TmSc2 at its relaxed geometry, from Alexandria via LeMat-Bulk.

Computed properties:
ΔE_f, eV/atom: 0.20
Calculated total energy, eV per atom: -4.69
Offset from the most stable computed form, eV per atom: 0.024

Structure (CIF):
```
data_Ho8TmSc2
_cell_length_a 16.927
_cell_length_b 6.618
_cell_length_c 6.353
_cell_angle_alpha 90.00
_cell_angle_beta 110.35
_cell_angle_gamma 90.00
_space_group_name_H-M_alt 'C 1 2/m 1'
_space_group_IT_number 12
loop_
_space_group_symop_operation_xyz
'x,y,z'
'-x,-y,-z'
'-x,y,-z'
'x,-y,z'
'x+1/2,y+1/2,z'
'-x+1/2,-y+1/2,-z'
'-x+1/2,y+1/2,-z'
'x+1/2,-y+1/2,z'
loop_
_atom_site_label
_atom_site_fract_x
_atom_site_fract_y
_atom_site_fract_z
_atom_site_occupancy
Ho1 0.065 0.000 0.244 1
Ho2 0.103 0.261 0.698 1
Ho3 0.211 0.500 0.325 1
Tm1 0.000 0.500 0.000 1
Sc1 0.221 0.000 0.105 1
```

---

(5)
The following is a PBE calculation of crystalline Ho7Tm12Sc at its relaxed geometry, from Alexandria via LeMat-Bulk.

Computed properties:
ΔE_f, eV/atom: 0.24
Calculated total energy, eV per atom: -4.36
Offset from the most stable computed form, eV per atom: 0.000

Structure (CIF):
```
data_Ho7Tm12Sc
_cell_length_a 11.8013
_cell_length_b 11.8013
_cell_length_c 15.5964
_cell_angle_alpha 90.00
_cell_angle_beta 90.00
_cell_angle_gamma 120.00
_space_group_name_H-M_alt 'R -3'
_space_group_IT_number 148
_space_group_name_Hall '-R 3'
loop_
_atom_site_label
_atom_site_fract_x
_atom_site_fract_y
_atom_site_fract_z
_atom_site_occupancy
Ho1 0.0000 0.0000 0.0000 1
Ho2 0.0618 0.4760 0.0834 1
Tm1 0.0236 0.5731 0.7186 1
Tm2 0.0553 0.8660 0.7939 1
Sc1 0.0000 0.0000 0.5000 1
```

---

(6)
The following is a PBE calculation of crystalline Ho2TmSc4 at its relaxed geometry, from Alexandria via LeMat-Bulk.

Computed properties:
ΔE_f, eV/atom: 0.18
Calculated total energy, eV per atom: -5.39
Offset from the most stable computed form, eV per atom: 0.005

Structure (CIF):
```
data_Ho2TmSc4
_cell_length_a 10.542
_cell_length_b 11.003
_cell_length_c 3.361
_cell_angle_alpha 90.00
_cell_angle_beta 90.00
_cell_angle_gamma 90.00
_space_group_name_H-M_alt 'C m m m'
_space_group_IT_number 65
_space_group_name_Hall '-C 2 2'
loop_
_atom_site_label
_atom_site_fract_x
_atom_site_fract_y
_atom_site_fract_z
_atom_site_occupancy
Ho1 0.197 0.000 0.000 1
Tm1 0.000 0.500 0.500 1
Sc1 0.000 0.230 0.000 1
Sc2 0.250 0.250 0.500 1
```

---

(7)
The following is a PBE calculation of crystalline Ho3Tm4Sc at its relaxed geometry, from Alexandria via LeMat-Bulk.

Computed properties:
ΔE_f, eV/atom: 0.09
Calculated total energy, eV per atom: -4.65
Offset from the most stable computed form, eV per atom: 0.085

Structure (CIF):
```
data_Ho3Tm4Sc
_cell_length_a 8.742
_cell_length_b 8.742
_cell_length_c 12.360
_cell_angle_alpha 90.00
_cell_angle_beta 90.00
_cell_angle_gamma 90.00
_space_group_name_H-M_alt 'I 4/m c m'
_space_group_IT_number 140
_space_group_name_Hall '-I 4 2c'
loop_
_atom_site_label
_atom_site_fract_x
_atom_site_fract_y
_atom_site_fract_z
_atom_site_occupancy
Ho1 0.000 0.000 0.250 1
Ho2 0.146 0.354 0.000 1
Tm1 0.151 0.349 0.337 1
Sc1 0.000 0.000 0.000 1
```

---

(8)
The following is a PBE calculation of crystalline Ho4Tm19Sc6 at its relaxed geometry, from Alexandria via LeMat-Bulk.

Computed properties:
ΔE_f, eV/atom: 0.06
Calculated total energy, eV per atom: -4.81

Structure (CIF):
```
data_Ho4Tm19Sc6
_cell_length_a 9.082
_cell_length_b 9.414
_cell_length_c 11.697
_cell_angle_alpha 110.46
_cell_angle_beta 103.46
_cell_angle_gamma 104.56
_space_group_name_H-M_alt 'P 1'
_space_group_IT_number 1
loop_
_space_group_symop_operation_xyz
'x,y,z'
loop_
_atom_site_label
_atom_site_fract_x
_atom_site_fract_y
_atom_site_fract_z
_atom_site_occupancy
Ho1 0.000 0.000 0.000 1
Ho2 0.033 0.392 0.224 1
Ho3 0.362 0.596 0.157 1
Ho4 0.408 0.343 0.568 1
Tm1 0.018 0.702 0.116 1
Tm2 0.040 0.073 0.323 1
Tm3 0.061 0.774 0.444 1
Tm4 0.068 0.446 0.539 1
Tm5 0.089 0.143 0.636 1
Tm6 0.313 0.529 0.843 1
Tm7 0.328 0.208 0.934 1
Tm8 0.348 0.901 0.049 1
Tm9 0.369 0.284 0.256 1
Tm10 0.388 0.976 0.366 1
Tm11 0.405 0.677 0.485 1
Tm12 0.621 0.717 0.786 1
Tm13 0.659 0.431 0.876 1
Tm14 0.660 0.103 0.962 1
Tm15 0.695 0.494 0.190 1
Tm16 0.708 0.185 0.295 1
Tm17 0.739 0.568 0.515 1
Tm18 0.786 0.958 0.694 1
Tm19 0.996 0.334 0.909 1
Sc1 0.274 0.820 0.742 1
Sc2 0.447 0.064 0.669 1
Sc3 0.680 0.801 0.090 1
Sc4 0.722 0.880 0.392 1
Sc5 0.752 0.251 0.607 1
Sc6 0.976 0.628 0.804 1
```